(1)
Computed, not measured: a relaxed BiPd2Pt crystal at the PBE-GGA level of DFT.

abc: 5.8105 9.9590 7.1121
angles: 135.52 90.00 90.00
Sites, in units of the cell vectors:
Bi: 0.4998 0.0656 0.3310
Bi: 0.9998 0.4344 0.6690
Bi: 0.0002 0.5656 0.3310
Bi: 0.5002 0.9344 0.6690
Pt: 0.9998 0.0279 0.3334
Pt: 0.5002 0.5279 0.3334
Pt: 0.4998 0.4721 0.6666
Pt: 0.0002 0.9721 0.6666
Pd: 0.2585 0.2918 0.8401
Pd: 0.2582 0.7084 0.1599
Pd: 0.7582 0.7916 0.8401
Pd: 0.7418 0.2916 0.8401
Pd: 0.2418 0.2084 0.1599
Pd: 0.7415 0.7082 0.1599
Pd: 0.7585 0.2082 0.1599
Pd: 0.2415 0.7918 0.8401

total moment: 0.00 μB/atom
crystal system: monoclinic
ΔE_f: -0.72 eV per formula unit
total DFT energy (no corrections): -5.2575 eV/atom

=====

(2)
Computed, not measured: a relaxed Bi7Pd16Pt6 crystal at the PBE-GGA level of DFT.

abc: 9.2182 9.2182 9.2182
angles: 60.00 60.00 60.00
Sites, in units of the cell vectors:
Pd: 0.8794 0.8794 0.8794
Pd: 0.6534 0.0397 0.6534
Pd: 0.6534 0.6534 0.6534
Pd: 0.3466 0.3466 0.3466
Pd: 0.9603 0.3466 0.3466
Pd: 0.6534 0.6534 0.0397
Pd: 0.3466 0.9603 0.3466
Pd: 0.1206 0.1206 0.6382
Pd: 0.8794 0.8794 0.3618
Pd: 0.3466 0.3466 0.9603
Pd: 0.1206 0.1206 0.1206
Pd: 0.0397 0.6534 0.6534
Pd: 0.3618 0.8794 0.8794
Pd: 0.8794 0.3618 0.8794
Pd: 0.1206 0.6382 0.1206
Pd: 0.6382 0.1206 0.1206
Pt: 0.6539 0.6539 0.3461
Pt: 0.3461 0.6539 0.3461
Pt: 0.3461 0.3461 0.6539
Pt: 0.3461 0.6539 0.6539
Pt: 0.6539 0.3461 0.3461
Pt: 0.6539 0.3461 0.6539
Bi: 0.5000 0.0000 0.0000
Bi: 0.5000 0.0000 0.5000
Bi: 0.0000 0.5000 0.0000
Bi: 0.0000 0.0000 0.5000
Bi: 0.0000 0.5000 0.5000
Bi: 0.5000 0.5000 0.0000
Bi: 0.0000 0.0000 0.0000

total moment: 0.00 μB/atom
crystal system: cubic
ΔE_f: -0.29 eV per formula unit
total DFT energy (no corrections): -5.0616 eV/atom

=====

(3)
Computed, not measured: a relaxed Bi5Pd2Pt2 crystal at the PBE-GGA level of DFT.

abc: 7.4664 7.1705 9.7611
angles: 111.55 112.49 90.00
Sites, in units of the cell vectors:
Bi: 0.4663 0.5334 0.2960
Bi: 0.9181 0.2855 0.1566
Bi: 0.8602 0.2547 0.5000
Bi: 0.5337 0.2374 0.7040
Bi: 0.0819 0.1288 0.8434
Bi: 0.7385 0.7855 0.1566
Bi: 0.1398 0.7547 0.5000
Bi: 0.3297 0.0334 0.2960
Bi: 0.6703 0.7374 0.7040
Bi: 0.2615 0.6288 0.8434
Pt: 0.2155 0.3703 0.5000
Pt: 0.7845 0.8703 0.5000
Pt: 0.0000 0.9033 0.0000
Pt: 0.5000 0.4033 0.0000
Pd: 0.4304 0.9763 0.8300
Pd: 0.1005 0.6463 0.1700
Pd: 0.5696 0.1463 0.1700
Pd: 0.8995 0.4763 0.8300

total moment: 0.00 μB/atom
crystal system: orthorhombic
ΔE_f: -1.81 eV per formula unit
total DFT energy (no corrections): -4.8538 eV/atom

=====

(4)
Computed, not measured: a relaxed BiPd2Pt2 crystal at the PBE-GGA level of DFT.

abc: 3.7877 3.7877 7.1745
angles: 74.69 74.69 90.00
Sites, in units of the cell vectors:
Bi: 0.0000 0.0000 0.0000
Pd: 0.2500 0.7500 0.5000
Pd: 0.7500 0.2500 0.5000
Pt: 0.3983 0.3983 0.2035
Pt: 0.6017 0.6017 0.7965

total moment: 0.00 μB/atom
crystal system: tetragonal
ΔE_f: 0.33 eV per formula unit
total DFT energy (no corrections): -5.2039 eV/atom

=====

(5)
Computed, not measured: a relaxed BiPd6Pt crystal at the PBE-GGA level of DFT.

abc: 5.8610 5.8610 5.8720
angles: 106.25 106.25 120.03
Sites, in units of the cell vectors:
Pd: 0.7460 0.7460 0.2491
Pd: 0.2540 0.2540 0.7509
Pd: 0.9825 0.5032 0.7463
Pd: 0.5032 0.9825 0.7463
Pd: 0.4968 0.0175 0.2537
Pd: 0.0175 0.4968 0.2537
Bi: 0.0000 0.0000 0.0000
Pt: 0.5000 0.5000 0.5000

total moment: 0.00 μB/atom
crystal system: monoclinic
ΔE_f: 1.17 eV per formula unit
total DFT energy (no corrections): -4.9889 eV/atom

=====

(6)
Computed, not measured: a relaxed Bi2Pd3Pt2 crystal at the PBE-GGA level of DFT.

abc: 4.3364 6.1654 11.7829
angles: 151.96 100.60 90.00
Sites, in units of the cell vectors:
Pt: 0.1252 0.3563 0.2505
Pt: 0.8748 0.6437 0.7495
Pd: 0.0000 0.5000 0.0000
Pd: 0.6632 0.2248 0.3264
Pd: 0.3368 0.7752 0.6736
Bi: 0.6120 0.6081 0.2240
Bi: 0.3880 0.3919 0.7760

total moment: 0.00 μB/atom
crystal system: monoclinic
ΔE_f: -1.11 eV per formula unit
total DFT energy (no corrections): -5.2190 eV/atom

=====

(7)
Computed, not measured: a relaxed Bi2Pd5Pt crystal at the PBE-GGA level of DFT.

abc: 4.9798 11.9337 10.6492
angles: 90.00 65.84 90.00
Sites, in units of the cell vectors:
Pd: 0.7847 0.2484 0.3854
Pd: 0.8065 0.8702 0.8660
Pd: 0.7153 0.7484 0.1146
Pd: 0.7999 0.7468 0.3634
Pd: 0.6876 0.6227 0.6263
Pd: 0.2031 0.9990 0.6251
Pd: 0.7001 0.2468 0.1366
Pd: 0.8124 0.1227 0.8737
Pd: 0.6935 0.3703 0.6340
Pd: 0.2847 0.2516 0.8854
Pd: 0.2969 0.4990 0.8749
Pd: 0.3124 0.3773 0.3737
Pd: 0.1935 0.1298 0.1340
Pd: 0.7031 0.5010 0.1251
Pd: 0.2153 0.7516 0.6146
Pd: 0.7969 0.0010 0.3749
Pd: 0.1876 0.8773 0.1263
Pd: 0.2999 0.7532 0.8634
Pd: 0.3065 0.6298 0.3660
Pd: 0.2001 0.2532 0.6366
Bi: 0.8214 0.4896 0.3721
Bi: 0.7401 0.8638 0.5985
Bi: 0.7599 0.3638 0.9015
Bi: 0.2599 0.1362 0.4015
Bi: 0.3214 0.0104 0.8721
Bi: 0.1786 0.5104 0.6279
Bi: 0.6786 0.9896 0.1279
Bi: 0.2401 0.6362 0.0985
Pt: 0.6875 0.1349 0.6353
Pt: 0.3125 0.8651 0.3647
Pt: 0.8125 0.6349 0.8647
Pt: 0.1875 0.3651 0.1353

total moment: 0.00 μB/atom
crystal system: monoclinic
ΔE_f: -1.45 eV per formula unit
total DFT energy (no corrections): -5.1522 eV/atom

=====

(8)
Computed, not measured: a relaxed BiPd2Pt2 crystal at the PBE-GGA level of DFT.

abc: 3.7305 3.7305 7.3622
angles: 75.32 75.32 90.00
Sites, in units of the cell vectors:
Pt: 0.2500 0.7500 0.5000
Pt: 0.7500 0.2500 0.5000
Pd: 0.3993 0.3993 0.2014
Pd: 0.6007 0.6007 0.7986
Bi: 0.0000 0.0000 0.0000

total moment: 0.00 μB/atom
crystal system: tetragonal
ΔE_f: 0.15 eV per formula unit
total DFT energy (no corrections): -5.2401 eV/atom

=====

(9)
Computed, not measured: a relaxed BiPd2Pt5 crystal at the PBE-GGA level of DFT.

abc: 4.1020 5.7506 11.3085
angles: 90.00 90.00 90.00
Sites, in units of the cell vectors:
Pt: 0.5000 0.7758 0.1326
Pt: 0.0000 0.5000 0.5000
Pt: 0.0000 0.9777 0.7511
Pt: 0.0000 0.0223 0.2489
Pt: 0.0000 0.4777 0.7489
Pt: 0.5000 0.2242 0.8674
Pt: 0.5000 0.7242 0.6326
Pt: 0.5000 0.2758 0.3674
Pt: 0.0000 0.5223 0.2511
Pt: 0.0000 0.0000 0.0000
Pd: 0.5000 0.7614 0.3772
Pd: 0.5000 0.2614 0.1228
Pd: 0.5000 0.7386 0.8772
Pd: 0.5000 0.2386 0.6228
Bi: 0.0000 0.0000 0.5000
Bi: 0.0000 0.5000 0.0000

total moment: 0.00 μB/atom
crystal system: orthorhombic
ΔE_f: -0.47 eV per formula unit
total DFT energy (no corrections): -5.6176 eV/atom

=====

(10)
Computed, not measured: a relaxed BiPd8Pt2 crystal at the PBE-GGA level of DFT.

abc: 4.0409 6.2662 7.5221
angles: 103.76 105.58 90.00
Sites, in units of the cell vectors:
Pd: 0.3151 0.0903 0.6302
Pd: 0.6849 0.9097 0.3698
Pd: 0.4070 0.5407 0.8141
Pd: 0.8612 0.8123 0.7223
Pd: 0.0477 0.7232 0.0955
Pd: 0.5930 0.4593 0.1859
Pd: 0.1388 0.1877 0.2777
Pd: 0.9523 0.2768 0.9045
Bi: 0.5000 0.0000 0.0000
Pt: 0.7730 0.3663 0.5460
Pt: 0.2270 0.6337 0.4540

total moment: 0.00 μB/atom
crystal system: monoclinic
ΔE_f: -1.19 eV per formula unit
total DFT energy (no corrections): -5.3356 eV/atom

=====

(11)
Computed, not measured: a relaxed Bi3Pd12Pt crystal at the PBE-GGA level of DFT.

abc: 4.0868 4.0868 16.4163
angles: 90.00 90.00 90.00
Sites, in units of the cell vectors:
Pd: 0.5000 0.5000 0.7493
Pd: 0.5000 0.5000 0.0000
Pd: 0.0000 0.5000 0.1178
Pd: 0.5000 0.0000 0.1178
Pd: 0.5000 0.0000 0.8822
Pd: 0.0000 0.5000 0.3736
Pd: 0.5000 0.0000 0.3736
Pd: 0.0000 0.5000 0.8822
Pd: 0.5000 0.5000 0.5000
Pd: 0.5000 0.0000 0.6264
Pd: 0.0000 0.5000 0.6264
Pd: 0.5000 0.5000 0.2507
Bi: 0.0000 0.0000 0.7632
Bi: 0.0000 0.0000 0.5000
Bi: 0.0000 0.0000 0.2368
Pt: 0.0000 0.0000 0.0000

total moment: 0.00 μB/atom
crystal system: tetragonal
ΔE_f: -3.08 eV per formula unit
total DFT energy (no corrections): -5.1922 eV/atom

=====

(12)
Computed, not measured: a relaxed Bi2Pd3Pt crystal at the PBE-GGA level of DFT.

abc: 4.0904 4.1308 7.5932
angles: 105.89 105.84 90.02
Sites, in units of the cell vectors:
Bi: 0.6592 0.1594 0.3160
Bi: 0.3408 0.8406 0.6840
Pt: 0.0000 0.0000 0.0000
Pd: 0.8610 0.3612 0.7251
Pd: 0.5000 0.5000 0.0000
Pd: 0.1390 0.6388 0.2749

total moment: 0.00 μB/atom
crystal system: triclinic
ΔE_f: -1.26 eV per formula unit
total DFT energy (no corrections): -5.1075 eV/atom